DFT (PBE-GGA) results for a geometry-optimized YZnIn2 structure.

POSCAR file:
```
YZnIn2
1.0
-2.200 2.200 4.909
2.200 -2.200 4.909
2.200 2.200 -4.909
Y Zn In
1 1 2
Direct
0.000 0.000 0.000
0.500 0.500 0.000
0.250 0.750 0.500
0.750 0.250 0.500
```

DFT (PBE-GGA) results for a geometry-optimized Y2ZnIn2 structure.

POSCAR file:
```
Y2ZnIn2
1.0
7.901 0.000 0.000
0.000 7.901 0.000
0.000 0.000 4.442
Y Zn In
4 2 4
Direct
0.158 0.342 0.000
0.342 0.842 0.000
0.658 0.158 0.000
0.842 0.658 0.000
0.000 0.000 0.000
0.500 0.500 0.000
0.145 0.645 0.500
0.355 0.145 0.500
0.645 0.855 0.500
0.855 0.355 0.500
```

Results
energy above the most stable polymorph in this dataset	260	meV/atom

DFT (PBE-GGA) results for a geometry-optimized YZnIn structure.

POSCAR file:
```
YZnIn
1.0
5.024 -2.207 0.000
5.024 2.207 0.000
-3.369 0.000 6.393
Y Zn In
2 2 2
Direct
0.000 0.000 0.000
0.247 0.247 0.575
0.297 0.297 0.013
0.537 0.537 0.341
0.617 0.617 0.778
0.837 0.837 0.318
```

DFT (PBE-GGA) results for a geometry-optimized YZnIn structure.

POSCAR file:
```
YZnIn
1.0
-1.707 1.707 5.924
1.707 -1.707 5.924
1.707 1.707 -5.924
Y Zn In
1 1 1
Direct
0.000 0.000 0.000
0.340 0.340 0.000
0.695 0.695 0.000
```

DFT (PBE-GGA) results for a geometry-optimized Y2ZnIn structure.

POSCAR file:
```
Y2ZnIn
1.0
4.608 0.000 0.000
0.000 1.899 5.889
0.000 -1.899 5.889
Y Zn In
2 1 1
Direct
0.000 0.000 0.000
0.500 0.311 0.311
0.500 0.576 0.576
0.000 0.723 0.723
```

DFT (PBE-GGA) results for a geometry-optimized Y4ZnIn structure.

POSCAR file:
```
Y4ZnIn
1.0
3.590 0.000 0.000
0.000 3.590 0.000
0.000 0.000 12.914
Y Zn In
4 1 1
Direct
0.000 0.000 0.136
0.000 0.000 0.864
0.500 0.500 0.338
0.500 0.500 0.662
0.500 0.500 0.000
0.000 0.000 0.500
```

Results
energy above the most stable polymorph in this dataset	0	meV/atom

The DOS(E_F) results, record by record, are as follows: 2.68 4.66 3.82 1.28 3.25 7.25 states/eV/cell.
The DFT formation energy results, record by record, are as follows: -0.2650 -0.1898 -0.3322 -0.2826 -0.3914 -0.2808 eV/atom.